No. 1
Compound: K2CoTc
Source: Alexandria
Functional: SCAN
Structure: PBEsol geometry

Results
relative energy among the computed polymorphs = 0.00 eV per formula unit
DFT formation energy = 3.29 eV/f.u.

a b c (Å): 2.7555 3.6528 10.1408
angles (deg): 90.00 90.00 90.00
Space group Pmm2 (No. 25)
One atom of each set of equivalent atoms:
K (0.0000, 0.0000, 0.0000)
K (0.5000, 0.5000, 0.4301)
Co (0.5000, 0.5000, 0.7597)
Tc (0.0000, 0.0000, 0.6837)

---

No. 2
Compound: CaBeTe2N
Source: Alexandria
Functional: SCAN
Structure: PBEsol geometry

Results
raw formation energy = 24.63 kcal/mol of atoms

a b c (Å): 5.7466 5.7466 4.3052
angles (deg): 90.00 90.00 90.00
Space group P4/mmm (No. 123)
One atom of each set of equivalent atoms:
Ca (0.0000, 0.0000, 0.0000)
Be (0.5000, 0.5000, 0.5000)
Te (0.0000, 0.5000, 0.0000)
N (0.0000, 0.0000, 0.5000)